# BaSiMoO6

Crystalline BaSiMoO6 at its relaxed geometry (GGA+U, the Alexandria database).

a b c (Å): 5.069 5.069 5.792
angles (deg): 90.00 90.00 60.00
Fractional coordinates of all 9 atoms:
Ba 0.000 0.000 0.000
Si 0.333 0.333 0.500
Mo 0.667 0.667 0.500
O 0.019 0.385 0.318
O 0.385 0.019 0.682
O 0.595 0.385 0.682
O 0.019 0.595 0.682
O 0.385 0.595 0.318
O 0.595 0.019 0.318

Results
For the total DFT energy (no corrections), the calculation gives -64.82 eV for the cell shown. As for the symmetry: P312. The calculation puts the density of states at the Fermi level at 0.0 states/eV/cell. As for the crystal system: trigonal.